# NaZrTeSe2

An optimized crystal structure of NaZrTeSe2 (PBE, Alexandria via LeMat-Bulk).

Cell: 5.563 5.563 5.175 Å, 90.00 90.00 90.00°
Space group P4/mmm (No. 123)
Unique sites:
Na 0.000 0.000 0.000
Zr 0.500 0.500 0.000
Te 0.000 0.000 0.500
Se 0.000 0.500 0.500

Summary:
Total magnetization   2.33 μB/f.u.
Total DFT energy (no corrections)   -17.46 eV per cell
Density   4.144 g/cm3
Volume   160 Å³ per cell


# Ag2SbAu

An optimized crystal structure of Ag2SbAu (PBE, Alexandria via LeMat-Bulk).

Cell: 9.882 3.217 5.138 Å, 90.00 100.37 90.00°
Space group Cm (No. 8)
Unique sites:
Ag 0.000 0.000 0.000
Ag 0.249 0.500 0.237
Sb 0.007 0.500 0.502
Au 0.255 0.000 0.756

Summary:
Total magnetization   0.00 μB/f.u.
Total DFT energy (no corrections)   -25.82 eV per cell
Density   11.046 g/cm3
Volume   161 Å³ per cell


# La4NdS6

An optimized crystal structure of La4NdS6 (PBE, Alexandria via LeMat-Bulk).

Cell: 11.6613 11.6613 14.0502 Å, 90.00 90.00 120.00°
Space group R-3c (No. 167, hexagonal axes)
Unique sites:
La 0.0000 0.0000 0.2500
La 0.0000 0.3778 0.2500
Nd 0.0000 0.0000 0.0000
S 0.0266 0.2032 0.3844

Summary:
Total magnetization   0.00 μB/f.u.
Total DFT energy (no corrections)   -426.88 eV per cell
Density   5.373 g/cm3
Volume   1655 Å³ per cell


# InOs2Ru

An optimized crystal structure of InOs2Ru (PBE, Alexandria via LeMat-Bulk).

Cell: 3.961 3.961 7.912 Å, 90.00 90.00 90.00°
Space group I-4m2 (No. 119)
Unique sites:
In 0.000 0.000 0.000
Os 0.000 0.000 0.500
Os 0.000 0.500 0.750
Ru 0.000 0.500 0.250

Summary:
Total magnetization   0.00 μB/f.u.
Total DFT energy (no corrections)   -65.07 eV per cell
Density   15.953 g/cm3
Volume   124 Å³ per cell
Energy of formation   1.94 eV per formula unit


# Te4P2O13

An optimized crystal structure of Te4P2O13 (PBE, Alexandria via LeMat-Bulk).

Cell: 11.524 4.740 22.793 Å, 90.00 116.42 90.00°
Space group P2_1/c (No. 14)
Unique sites:
Te 0.012 0.176 0.312
Te 0.189 0.231 0.063
Te 0.343 0.185 0.423
Te 0.477 0.684 0.349
P 0.136 0.744 0.442
P 0.306 0.725 0.679
O 0.013 0.584 0.898
O 0.038 0.176 0.734
O 0.109 0.620 0.499
O 0.164 0.509 0.404
O 0.188 0.525 0.630
O 0.194 0.056 0.345
O 0.253 0.550 0.977
O 0.275 0.691 0.234
O 0.311 0.518 0.136
O 0.353 0.097 0.071
O 0.408 0.169 0.857
O 0.429 0.666 0.923
O 0.435 0.562 0.702

Summary:
Total magnetization   0.00 μB/f.u.
Total DFT energy (no corrections)   -461.53 eV per cell
Density   4.649 g/cm3
Volume   1115 Å³ per cell


# LaNdInN3

An optimized crystal structure of LaNdInN3 (PBE, Alexandria via LeMat-Bulk).

Cell: 6.112 3.541 9.056 Å, 90.00 98.69 90.00°
Space group P2_1/m (No. 11)
Unique sites:
La 0.164 0.250 0.189
Nd 0.262 0.750 0.551
In 0.346 0.250 0.858
N 0.036 0.250 0.667
N 0.252 0.750 0.984
N 0.461 0.750 0.333

Summary:
Total magnetization   0.00 μB/f.u.
Total DFT energy (no corrections)   -84.77 eV per cell
Density   7.542 g/cm3
Volume   194 Å³ per cell


# Sr2Zn6CuIr

An optimized crystal structure of Sr2Zn6CuIr (PBE, Alexandria via LeMat-Bulk).

Cell: 6.4295 6.4295 34.7789 Å, 90.00 90.00 120.00°
Space group R-3m (No. 166, hexagonal axes)
Unique sites:
Sr 0.0000 0.0000 0.1271
Sr 0.0000 0.0000 0.2991
Zn 0.0009 0.5005 0.7142
Zn 0.0554 0.5277 0.8752
Cu 0.0000 0.0000 0.4241
Ir 0.0000 0.0000 0.0000
Ir 0.0000 0.0000 0.5000

Summary:
Total magnetization   0.00 μB/f.u.
Total DFT energy (no corrections)   -154.73 eV per cell
Density   6.589 g/cm3
Volume   1245 Å³ per cell
Energy of formation   -1.82 eV per formula unit


# Dy2YTmN4

An optimized crystal structure of Dy2YTmN4 (PBE, Alexandria via LeMat-Bulk).

Cell: 5.987 3.458 5.988 Å, 90.00 109.45 90.00°
Space group P2/m (No. 10)
Unique sites:
Dy 0.000 0.000 0.000
Dy 0.000 0.500 0.500
Y 0.500 0.000 0.500
Tm 0.500 0.500 0.000
N 0.251 0.500 0.248
N 0.253 0.000 0.753

Summary:
Total magnetization   0.00 μB/f.u.
Total DFT energy (no corrections)   -67.28 eV per cell
Density   9.075 g/cm3
Volume   117 Å³ per cell


# TbPr2Dy9

An optimized crystal structure of TbPr2Dy9 (PBE, Alexandria via LeMat-Bulk).

Cell: 11.3065 11.3065 3.4982 Å, 90.00 90.00 120.00°
Space group P6/mmm (No. 191)
Unique sites:
Tb 0.0000 0.0000 0.0000
Pr 0.3333 0.6667 0.0000
Dy 0.0000 0.5000 0.0000
Dy 0.1731 0.3463 0.5000

Summary:
Total magnetization   0.00 μB/f.u.
Total DFT energy (no corrections)   -54.77 eV per cell
Density   8.160 g/cm3
Volume   387 Å³ per cell
Energy of formation   0.84 eV per formula unit


# SrS2I

An optimized crystal structure of SrS2I (PBE, Alexandria via LeMat-Bulk).

Cell: 5.674 5.674 16.892 Å, 90.00 90.00 90.00°
Space group I-42d (No. 122)
Unique sites:
Sr 0.000 0.000 0.000
S 0.224 0.250 0.625
I 0.000 0.000 0.500

Summary:
Total magnetization   0.00 μB/f.u.
Total DFT energy (no corrections)   -53.20 eV per cell
Density   3.404 g/cm3
Volume   544 Å³ per cell


# MnCo2Au

An optimized crystal structure of MnCo2Au (PBE, Alexandria via LeMat-Bulk).

Cell: 4.466 2.828 4.476 Å, 90.00 106.28 90.00°
Space group P2/m (No. 10)
Unique sites:
Mn 0.000 0.000 0.000
Co 0.500 0.000 0.500
Co 0.500 0.500 0.000
Au 0.000 0.500 0.500

Summary:
Total magnetization   6.86 μB/f.u.
Total DFT energy (no corrections)   -25.89 eV per cell
Density   11.314 g/cm3
Volume   54 Å³ per cell
Energy of formation   0.77 eV per formula unit


# NdTm2Cu

An optimized crystal structure of NdTm2Cu (PBE, Alexandria via LeMat-Bulk).

Cell: 4.906 7.452 6.351 Å, 90.00 112.60 90.00°
Space group P2_1/m (No. 11)
Unique sites:
Nd 0.048 0.250 0.095
Tm 0.350 0.032 0.699
Cu 0.202 0.750 0.404

Summary:
Total magnetization   0.00 μB/f.u.
Total DFT energy (no corrections)   -36.22 eV per cell
Density   8.453 g/cm3
Volume   214 Å³ per cell
Energy of formation   -0.30 eV per formula unit